Entry 1:
# SCAN BaFe2W, single point on PBEsol structure
data_BaFe2W
_chemical_formula_sum 'Ba1 Fe2 W1'
_space_group_name_H-M_alt 'P 1'
_space_group_IT_number 1
_cell_length_a 5.7800
_cell_length_b 5.7800
_cell_length_c 5.7800
_cell_angle_alpha 150.75
_cell_angle_beta 127.98
_cell_angle_gamma 60.79
loop_
_space_group_symop_operation_xyz
'x,y,z'
loop_
_atom_site_label
_atom_site_type_symbol
_atom_site_fract_x
_atom_site_fract_y
_atom_site_fract_z
Ba1 Ba 0.0000 0.0000 0.0000
Fe1 Fe 0.2979 0.7979 0.5000
Fe2 Fe 0.5233 0.5233 0.0000
W1 W 0.7052 0.2052 0.5000
# space group: Imm2 (44)
# calculated formation energy: 1.285 eV per atom
# D(E_F): 0.920 states/eV/atom

***

Entry 2:
# SCAN BaYFe2, single point on PBEsol structure
data_BaYFe2
_chemical_formula_sum 'Ba1 Y1 Fe2'
_space_group_name_H-M_alt 'P 1'
_space_group_IT_number 1
_cell_length_a 3.7157
_cell_length_b 3.7157
_cell_length_c 6.9591
_cell_angle_alpha 90.00
_cell_angle_beta 90.00
_cell_angle_gamma 90.00
loop_
_space_group_symop_operation_xyz
'x,y,z'
loop_
_atom_site_label
_atom_site_type_symbol
_atom_site_fract_x
_atom_site_fract_y
_atom_site_fract_z
Ba1 Ba 0.0000 0.0000 0.0000
Y1 Y 0.0000 0.0000 0.5000
Fe1 Fe 0.5000 0.5000 0.3382
Fe2 Fe 0.5000 0.5000 0.6617
# energy above the lowest structure with this stoichiometry: 0.00 eV/f.u.
# space group: P4/mmm (123)
# calculated formation energy: 0.419 eV per atom
# D(E_F): 1.332 states/eV/atom

***

Entry 3:
# SCAN BaY2Fe, single point on PBEsol structure
data_BaY2Fe
_chemical_formula_sum 'Ba1 Y2 Fe1'
_space_group_name_H-M_alt 'P 1'
_space_group_IT_number 1
_cell_length_a 6.5963
_cell_length_b 6.5963
_cell_length_c 3.4248
_cell_angle_alpha 104.10
_cell_angle_beta 104.10
_cell_angle_gamma 119.97
loop_
_space_group_symop_operation_xyz
'x,y,z'
loop_
_atom_site_label
_atom_site_type_symbol
_atom_site_fract_x
_atom_site_fract_y
_atom_site_fract_z
Ba1 Ba 0.0000 0.0000 0.0000
Y1 Y 0.0000 0.5000 0.5000
Y2 Y 0.5000 0.0000 0.5000
Fe1 Fe 0.5000 0.5000 0.0000
# energy above the lowest structure with this stoichiometry: 1.17 eV/f.u.
# space group: C2/m (12)
# calculated formation energy: 0.655 eV per atom
# D(E_F): 1.025 states/eV/atom

***

Entry 4:
# SCAN Ba2YFe, single point on PBEsol structure
data_Ba2YFe
_chemical_formula_sum 'Ba2 Y1 Fe1'
_space_group_name_H-M_alt 'P 1'
_space_group_IT_number 1
_cell_length_a 6.5240
_cell_length_b 6.5240
_cell_length_c 6.5240
_cell_angle_alpha 137.55
_cell_angle_beta 137.55
_cell_angle_gamma 61.59
loop_
_space_group_symop_operation_xyz
'x,y,z'
loop_
_atom_site_label
_atom_site_type_symbol
_atom_site_fract_x
_atom_site_fract_y
_atom_site_fract_z
Ba1 Ba 0.2500 0.7500 0.5000
Ba2 Ba 0.7500 0.2500 0.5000
Y1 Y 0.0000 0.0000 0.0000
Fe1 Fe 0.5000 0.5000 0.0000
# energy above the lowest structure with this stoichiometry: 0.42 eV/f.u.
# space group: I4/mmm (139)
# calculated formation energy: 0.701 eV per atom
# D(E_F): 1.023 states/eV/atom